Entry 1:
A plane-wave DFT calculation with GGA-PBE was carried out for crystalline DyNiI at its relaxed geometry.

Unit cell a=3.9416 b=3.9405 c=13.0484 alpha=89.96 beta=81.31 gamma=59.99
With the nearest neighbours (Å) after each atom.
Atoms (fractional coordinates):
Dy1 0.7819 0.1079 0.3284  4 Ni 2.72-2.84
Dy2 0.2181 0.8921 0.6716  4 Ni 2.72-2.84
Ni1 0.6398 0.1805 0.5400  3 Ni 2.49-2.50, 1 Dy 2.72
Ni2 0.3602 0.8195 0.4600  3 Ni 2.49-2.50, 1 Dy 2.72
I1 0.2261 0.3862 0.1615  3 Dy 3.13
I2 0.7739 0.6138 0.8385  3 Dy 3.13

Summary:
**E_form (uncorrected)**: -0.6155 eV/atom
**N(E_F)**: 2.8 states/eV per cell
**Calculated total energy**: -27.6 eV for the cell shown

***

Entry 2:
A plane-wave DFT calculation with GGA-PBE was carried out for crystalline MnAgSbAu at its relaxed geometry.

Unit cell a=4.7687 b=4.7687 c=4.7687 alpha=60.00 beta=60.00 gamma=60.00
With the nearest neighbours (Å) after each atom.
Atoms (fractional coordinates):
Sb1 0.5000 0.5000 0.5000  4 Ag 2.92, 4 Mn 2.92
Mn1 0.2500 0.2500 0.2500  4 Sb 2.92, 4 Au 2.92
Au1 0.0000 0.0000 0.0000  4 Mn 2.92, 4 Ag 2.92
Ag1 0.7500 0.7500 0.7500  4 Au 2.92, 4 Sb 2.92

Summary:
**E_form (uncorrected)**: 0.1349 eV/atom
**N(E_F)**: 1.5 states/eV per cell
**Calculated total energy**: -18.9 eV for the cell shown

***

Entry 3:
A plane-wave DFT calculation with GGA-PBE was carried out for crystalline Cs3K2Na4 at its relaxed geometry.

Unit cell a=6.6476 b=8.2709 c=12.8103 alpha=96.90 beta=90.00 gamma=113.69
With the nearest neighbours (Å) after each atom.
Atoms (fractional coordinates):
Cs1 0.3668 0.7337 0.6119  6 Na 4.40-4.76, 2 K 4.87-4.91
Cs2 0.0000 0.0000 0.0000  6 Na 4.35-4.82
Cs3 0.6332 0.2663 0.3881  6 Na 4.40-4.76, 2 K 4.87-4.91
K1 0.3241 0.6482 0.2249  5 Na 3.87-4.03
K2 0.6759 0.3518 0.7751  5 Na 3.87-4.03
Na1 0.7293 0.4586 0.0786  3 K 3.87-3.99, 2 Na 3.98
Na2 0.0677 0.1354 0.6332  1 Na 3.74, 2 K 4.03
Na3 0.9323 0.8646 0.3668  1 Na 3.74, 2 K 4.03
Na4 0.2707 0.5414 0.9214  3 K 3.87-3.99, 2 Na 3.98

Summary:
**N(E_F)**: 7.3 states/eV per cell
**DFT formation energy**: 0.35 eV per formula unit
**Calculated total energy**: -9.7 eV for the cell shown

***

Entry 4:
A plane-wave DFT calculation with GGA-PBE was carried out for crystalline TaNiIr at its relaxed geometry.

Unit cell a=4.6419 b=9.1392 c=4.7906 alpha=90.00 beta=120.16 gamma=90.00
With the nearest neighbours (Å) after each atom.
Atoms (fractional coordinates):
Ta1 0.9017 0.3770 0.1511  5 Ni 2.57-2.82, 5 Ir 2.62-2.80
Ta2 0.4017 0.6230 0.6511  5 Ni 2.57-2.82, 5 Ir 2.62-2.80
Ta3 0.9017 0.8770 0.6511  5 Ni 2.57-2.82, 5 Ir 2.62-2.80
Ta4 0.4017 0.1230 0.1511  5 Ni 2.57-2.82, 5 Ir 2.62-2.80
Ni1 0.5713 0.3895 0.4714  5 Ta 2.57-2.82, 5 Ir 2.65-2.79
Ni2 0.0713 0.6105 0.9714  5 Ta 2.57-2.82, 5 Ir 2.65-2.79
Ni3 0.5713 0.8895 0.9714  5 Ta 2.57-2.82, 5 Ir 2.65-2.79
Ni4 0.0713 0.1105 0.4714  5 Ta 2.57-2.82, 5 Ir 2.65-2.79
Ir1 0.2338 0.8618 0.3003  5 Ta 2.62-2.80, 5 Ni 2.65-2.79
Ir2 0.7338 0.1382 0.8003  5 Ta 2.62-2.80, 5 Ni 2.65-2.79
Ir3 0.2338 0.3618 0.8003  5 Ta 2.62-2.80, 5 Ni 2.65-2.79
Ir4 0.7338 0.6382 0.3003  5 Ta 2.62-2.80, 5 Ni 2.65-2.79

Summary:
**ΔE to the lowest computed polymorph**: 24 meV per atom
**N(E_F)**: 2.4 states/eV per cell
**DFT formation energy**: -1.38 eV per formula unit
**Calculated total energy**: -111.5 eV for the cell shown

***

Entry 5:
A plane-wave DFT calculation with GGA-PBE was carried out for crystalline Sr2MnCrRe at its relaxed geometry.

Unit cell a=5.8077 b=3.9777 c=5.8077 alpha=90.00 beta=90.00 gamma=90.00
With the nearest neighbours (Å) after each atom.
Atoms (fractional coordinates):
Re1 0.5000 0.5000 0.5000  8 Sr 3.52
Mn1 0.0000 0.0000 0.0000  2 Cr 1.99
Cr1 0.0000 0.5000 0.0000  2 Mn 1.99
Sr1 0.0000 0.0000 0.5000  2 Mn 2.90
Sr2 0.5000 0.0000 0.0000  2 Mn 2.90

Summary:
**N(E_F)**: 7.7 states/eV per cell
**DFT formation energy**: 8.56 eV per formula unit
**Calculated total energy**: -26.0 eV for the cell shown

***

Entry 6:
A plane-wave DFT calculation with GGA-PBE was carried out for crystalline PmNdY2 at its relaxed geometry.

Unit cell a=5.7610 b=5.7610 c=5.7610 alpha=60.00 beta=60.00 gamma=60.00
With the nearest neighbours (Å) after each atom.
Atoms (fractional coordinates):
Y1 0.2500 0.2500 0.2500  4 Pm 3.53, 4 Nd 3.53
Y2 0.7500 0.7500 0.7500  4 Nd 3.53, 4 Pm 3.53
Nd1 0.5000 0.5000 0.5000  8 Y 3.53
Pm1 0.0000 0.0000 0.0000  8 Y 3.53

Summary:
**ΔE to the lowest computed polymorph**: 96 meV per atom
**N(E_F)**: 7.9 states/eV per cell
**DFT formation energy**: 0.42 eV per formula unit
**Calculated total energy**: -22.0 eV for the cell shown

***

Entry 7:
A plane-wave DFT calculation with GGA-PBE was carried out for crystalline WBrN3 at its relaxed geometry.

Unit cell a=3.7833 b=3.7833 c=3.7833 alpha=90.00 beta=90.00 gamma=90.00
With the nearest neighbours (Å) after each atom.
Atoms (fractional coordinates):
Br1 0.0000 0.0000 0.0000  6 N 1.89
W1 0.5000 0.5000 0.5000  12 N 2.68
N1 0.0000 0.5000 0.0000  2 Br 1.89
N2 0.0000 0.0000 0.5000  2 Br 1.89
N3 0.5000 0.0000 0.0000  2 Br 1.89

Summary:
**E_form (uncorrected)**: 2.8332 eV/atom
**N(E_F)**: 4.6 states/eV per cell
**Calculated total energy**: -25.4 eV for the cell shown

***

Entry 8:
A plane-wave DFT calculation with GGA-PBE was carried out for crystalline K2InH3 at its relaxed geometry.

Unit cell a=6.2160 b=6.2307 c=6.7689 alpha=90.00 beta=90.00 gamma=119.92
With the nearest neighbours (Å) after each atom.
Atoms (fractional coordinates):
K1 0.3335 0.6669 0.5000  6 H 2.66
K2 0.3335 0.6669 0.0000  6 H 2.66
K3 0.6665 0.3331 0.0000  6 H 2.66
K4 0.6665 0.3331 0.5000  6 H 2.66
In1 0.0001 0.0000 0.2500  3 H 2.12
In2 0.9999 0.0000 0.7500  3 H 2.12
H1 0.6595 0.0000 0.7500  1 In 2.12
H2 0.3405 0.0000 0.2500  1 In 2.12
H3 0.9993 0.6594 0.7500  1 In 2.12
H4 0.3399 0.3406 0.7500  1 In 2.12
H5 0.6601 0.6594 0.2500  1 In 2.12
H6 0.0007 0.3406 0.2500  1 In 2.12

Summary:
**Calculated total energy**: -29.7 eV for the cell shown